# 1
{
  "formula": "Sc2CuBSe",
  "functional": "PBE",
  "state": "optimized geometry",
  "formation_energy_uncorrected_ev_per_atom": -0.574,
  "cell": [[4.6981, 0.0000, 0.0000], [0.0000, 3.8685, 0.0000], [0.0000, 0.0000, 4.6981]],
  "species": ["Sc", "Sc", "B", "Cu", "Se"],
  "frac_coords": [[0.0000, 0.0000, 0.5000], [0.5000, 0.0000, 0.0000], [0.0000, 0.0000, 0.0000], [0.0000, 0.5000, 0.0000], [0.5000, 0.5000, 0.5000]]
}

***

# 2
{
  "formula": "AsPSF2",
  "functional": "PBE",
  "state": "optimized geometry",
  "formation_energy_uncorrected_ev_per_atom": -0.755,
  "cell": [[-1.3438, -2.1141, 2.8257], [-3.3295, -2.6095, -3.5357], [2.6932, -2.5683, -0.6407]],
  "species": ["P", "As", "S", "F", "F"],
  "frac_coords": [[0.0000, 0.0000, 0.0000], [0.0000, 0.5000, 0.0000], [0.5000, 0.5000, 0.5000], [0.0000, 0.0000, 0.5000], [0.5000, 0.0000, 0.0000]]
}

***

# 3
{
  "formula": "Tc2IrW",
  "functional": "PBE",
  "state": "optimized geometry",
  "delta_e_f_ev_per_atom": -0.052,
  "relative_energy_mev_per_atom": 69.5,
  "cell": [[2.7720, 0.0068, 0.0000], [-0.0058, 2.7720, 0.0000], [0.0000, 0.0000, 7.7885]],
  "species": ["Ir", "Tc", "Tc", "W"],
  "frac_coords": [[0.5000, 0.5000, 0.7506], [0.0000, 0.0000, 0.0061], [0.5000, 0.5000, 0.2420], [0.0000, 0.0000, 0.5014]]
}

***

# 4
{
  "formula": "TbICl",
  "functional": "PBE",
  "state": "optimized geometry",
  "relative_energy_mev_per_atom": 0.0,
  "formation_energy_uncorrected_ev_per_atom": -1.571,
  "cell": [[3.9729, 0.0004, -0.0386], [-0.0005, 6.7333, 0.7349], [1.8476, 3.3306, 8.2287]],
  "species": ["Tb", "Tb", "I", "I", "Cl", "Cl"],
  "frac_coords": [[0.7503, 0.7589, 0.4992], [0.2497, 0.2411, 0.5008], [0.6295, 0.9198, 0.7696], [0.3705, 0.0802, 0.2304], [0.1624, 0.4609, 0.6960], [0.8376, 0.5391, 0.3040]]
}

***

# 5
{
  "formula": "Tm5Tl2InRu2",
  "functional": "PBE",
  "state": "optimized geometry",
  "delta_e_f_ev_per_atom": -0.308,
  "cell": [[3.6429, 0.0000, 0.0000], [0.0000, 11.7237, 0.0000], [0.0000, 0.0000, 11.7237]],
  "species": ["Tm", "Tm", "Tm", "Tm", "Tm", "Tm", "Tm", "Tm", "Tm", "Tm", "Tl", "Tl", "Tl", "Tl", "In", "In", "Ru", "Ru", "Ru", "Ru"],
  "frac_coords": [[0.5000, 0.2093, 0.0766], [0.5000, 0.7907, 0.9234], [0.5000, 0.0766, 0.7907], [0.5000, 0.7093, 0.4234], [0.5000, 0.9234, 0.2093], [0.5000, 0.2907, 0.5766], [0.5000, 0.5766, 0.7093], [0.5000, 0.4234, 0.2907], [0.5000, 0.5000, 0.0000], [0.5000, 0.0000, 0.5000], [0.0000, 0.6758, 0.1758], [0.0000, 0.3242, 0.8242], [0.0000, 0.1758, 0.3242], [0.0000, 0.8242, 0.6758], [0.0000, 0.0000, 0.0000], [0.0000, 0.5000, 0.5000], [0.0000, 0.1278, 0.6278], [0.0000, 0.8722, 0.3722], [0.0000, 0.6278, 0.8722], [0.0000, 0.3722, 0.1278]]
}

***

# 6
{
  "formula": "PaI3Cl6",
  "functional": "PBE",
  "state": "optimized geometry",
  "formation_energy_uncorrected_ev_per_atom": -1.045,
  "cell": [[8.3119, 0.0000, 0.0000], [-4.1560, 6.8592, -0.6860], [0.0000, 0.3441, 7.2268]],
  "species": ["Pa", "I", "I", "I", "Cl", "Cl", "Cl", "Cl", "Cl", "Cl"],
  "frac_coords": [[0.5000, 0.0000, 0.5000], [0.8274, 0.6548, 0.1867], [0.1726, 0.3452, 0.8133], [0.0000, 0.0000, 0.0000], [0.8280, 0.2179, 0.3694], [0.6100, 0.7821, 0.6306], [0.1720, 0.7821, 0.6306], [0.3900, 0.2179, 0.3694], [0.3946, 0.7891, 0.2003], [0.6054, 0.2109, 0.7997]]
}

***

Across the entries above, total moment takes the values 0.000, 0.000, 0.000, 0.000, 0.000, 1.991 μB per cell, respectively.